PmIBr3 (PBE, optimized geometry); calculated volume = 367 Å³ per cell; formation energy (no corrections) = -1290 meV per atom; electronic total energy = -3.554 eV per atom; crystal system = orthorhombic
1.0
-4.465 6.110 2.161
-2.530 -1.133 -7.366
-0.613 -6.676 4.122
Pm I Br
2 2 6
Direct
0.369 0.027 0.842 Pm
0.185 0.527 0.158 Pm
0.551 0.845 0.206 I
0.640 0.345 0.794 I
0.072 0.218 0.736 Br
0.072 0.836 0.354 Br
0.482 0.718 0.646 Br
0.882 0.232 0.150 Br
0.482 0.336 0.264 Br
0.081 0.732 0.850 Br

---

SrRhCl (PBE, optimized geometry); calculated volume = 83 Å³ per cell; formation energy (no corrections) = -86 meV per atom; energy above the most stable polymorph in this dataset = 1109.5 meV per atom; electronic total energy = -3.713 eV per atom; crystal system = cubic
1.0
-2.039 -2.180 -3.876
2.678 -0.891 -3.996
1.226 -4.594 -1.148
Cl Rh Sr
1 1 1
Direct
0.000 0.000 0.000 Cl
0.500 0.500 0.500 Rh
0.250 0.250 0.250 Sr

---

Question: What is the calculated volume in the first record?
Answer: 367 Å³ per cell

---

Question: Which value of calculated volume does entry 1 give?
Answer: 367 Å³ per cell

---

Question: What is the formation energy (no corrections) in the first record?
Answer: -1290 meV per atom

---

What did the first record say?
PmIBr3 (PBE, optimized geometry); calculated volume = 367 Å³ per cell; formation energy (no corrections) = -1290 meV per atom; electronic total energy = -3.554 eV per atom; crystal system = orthorhombic
1.0
-4.465 6.110 2.161
-2.530 -1.133 -7.366
-0.613 -6.676 4.122
Pm I Br
2 2 6
Direct
0.369 0.027 0.842 Pm
0.185 0.527 0.158 Pm
0.551 0.845 0.206 I
0.640 0.345 0.794 I
0.072 0.218 0.736 Br
0.072 0.836 0.354 Br
0.482 0.718 0.646 Br
0.882 0.232 0.150 Br
0.482 0.336 0.264 Br
0.081 0.732 0.850 Br